1.
The following is a DFT calculation (PBE-GGA) of a relaxed structure of TlCd7Hg4.

Computed properties:
**Total DFT energy (no corrections)**: -0.790 eV/atom
**DFT formation energy**: 0.04 eV per atom
**ΔE to the lowest computed polymorph**: 0.0000 eV/atom

Lattice parameters (Å, degrees): 5.0123 5.0123 13.8349 90.00 90.00 120.00
Last column: nearest neighbours and their distance in Å.
Fractional coordinates of all 12 atoms:
Tl1 0.0000 0.0000 0.0000  8 Cd 3.26-3.64
Cd1 0.0000 0.0000 0.2631  4 Cd 3.08-3.28, 3 Hg 3.21
Cd2 0.0000 0.0000 0.5000  6 Hg 3.11, 2 Cd 3.28
Cd3 0.0000 0.0000 0.7369  4 Cd 3.08-3.28, 3 Hg 3.21
Cd4 0.3333 0.6667 0.6598  4 Hg 3.08-3.36, 4 Cd 3.08-3.20
Cd5 0.3333 0.6667 0.8912  3 Hg 2.99, 1 Cd 3.20, 3 Tl 3.26
Cd6 0.6667 0.3333 0.1088  3 Hg 2.99, 1 Cd 3.20, 3 Tl 3.26
Cd7 0.6667 0.3333 0.3402  4 Hg 3.08-3.36, 4 Cd 3.08-3.20
Hg1 0.3333 0.6667 0.1629  6 Cd 2.99-3.21
Hg2 0.3333 0.6667 0.4170  7 Cd 3.08-3.36
Hg3 0.6667 0.3333 0.5830  7 Cd 3.08-3.36
Hg4 0.6667 0.3333 0.8371  6 Cd 2.99-3.21



2.
The following is a DFT calculation (PBE-GGA) of a relaxed structure of Tl2Cd3Hg2.

Computed properties:
**Total DFT energy (no corrections)**: -1.141 eV/atom
**DFT formation energy**: 0.01 eV per atom
**ΔE to the lowest computed polymorph**: 0.0000 eV/atom

Lattice parameters (Å, degrees): 6.8948 6.8948 7.9107 116.51 116.51 34.97
Last column: nearest neighbours and their distance in Å.
Fractional coordinates of all 7 atoms:
Tl1 0.1368 0.1368 0.2932  3 Hg 3.34-3.35, 6 Cd 3.35-3.60
Tl2 0.8632 0.8632 0.7068  3 Hg 3.34-3.35, 6 Cd 3.35-3.60
Cd1 0.4108 0.4108 0.0691  3 Hg 2.97-3.06, 2 Cd 3.02-3.04
Cd2 0.5000 0.5000 0.5000  4 Hg 3.02, 2 Cd 3.04
Cd3 0.5892 0.5892 0.9309  3 Hg 2.97-3.06, 2 Cd 3.02-3.04
Hg1 0.1747 0.1747 0.7430  5 Cd 2.97-3.06
Hg2 0.8253 0.8253 0.2570  5 Cd 2.97-3.06



3.
The following is a DFT calculation (PBE-GGA) of a relaxed structure of Tl4CdHg.

Computed properties:
**Total DFT energy (no corrections)**: -1.622 eV/atom
**DFT formation energy**: 0.16 eV per atom
**ΔE to the lowest computed polymorph**: 0.1425 eV/atom

Lattice parameters (Å, degrees): 6.4838 6.4838 6.4838 60.00 60.00 60.00
Last column: nearest neighbours and their distance in Å.
Fractional coordinates of all 6 atoms:
Tl1 0.1250 0.1250 0.1250  6 Tl 3.24
Tl2 0.1250 0.1250 0.6249  6 Tl 3.24
Tl3 0.1250 0.6249 0.1250  6 Tl 3.24
Tl4 0.6249 0.1250 0.1250  6 Tl 3.24
Cd1 0.7500 0.7500 0.7500  12 Tl 3.80, 4 Hg 3.97
Hg1 0.5000 0.5000 0.5000  12 Tl 3.80, 4 Cd 3.97



4.
The following is a DFT calculation (PBE-GGA) of a relaxed structure of TlCd2Hg.

Computed properties:
**Total DFT energy (no corrections)**: -1.105 eV/atom
**DFT formation energy**: 0.02 eV per atom
**ΔE to the lowest computed polymorph**: 0.0000 eV/atom

Lattice parameters (Å, degrees): 4.9375 7.4387 6.1514 90.00 109.59 90.00
Last column: nearest neighbours and their distance in Å.
Fractional coordinates of all 8 atoms:
Tl1 0.0808 0.2500 0.1507  2 Hg 3.26-3.32, 4 Cd 3.27-3.44
Tl2 0.9192 0.7500 0.8493  2 Hg 3.26-3.32, 4 Cd 3.27-3.44
Cd1 0.4016 0.0461 0.7503  2 Cd 2.97-3.03, 3 Hg 2.99-3.06, 1 Tl 3.27
Cd2 0.4016 0.4539 0.7503  2 Cd 2.97-3.03, 3 Hg 2.99-3.06, 1 Tl 3.27
Cd3 0.5984 0.5461 0.2497  2 Cd 2.97-3.03, 3 Hg 2.99-3.06, 1 Tl 3.27
Cd4 0.5984 0.9539 0.2497  2 Cd 2.97-3.03, 3 Hg 2.99-3.06, 1 Tl 3.27
Hg1 0.1684 0.7500 0.4110  6 Cd 2.99-3.06, 2 Tl 3.26-3.32
Hg2 0.8316 0.2500 0.5890  6 Cd 2.99-3.06, 2 Tl 3.26-3.32